[1]
{"formula": "ZrIn2Si", "functional": "PBE-GGA", "state": "relaxed", "magmom_total_mub_per_atom": 0.000, "raw_formation_energy_mev_per_atom": -144, "final_energy_ev_per_atom": -5.01, "dos_ef_per_ev_atom": 0.47, "lattice_angstrom": [[-1.160, 3.414, 0.740], [-3.287, -0.802, -1.451], [-2.186, -2.063, 6.092]], "species": ["In", "In", "Si", "Zr"], "fractional_positions": [[0.000, 0.000, 0.986], [0.500, 0.500, 0.245], [0.000, 0.000, 0.582], [0.500, 0.500, 0.686]]}


[2]
{"formula": "ZrInSi", "functional": "PBE-GGA", "state": "relaxed", "magmom_total_mub_per_atom": 0.000, "raw_formation_energy_mev_per_atom": 249, "final_energy_ev_per_atom": -5.32, "de_polymorph_mev_per_atom": 581, "dos_ef_per_ev_atom": 0.60, "lattice_angstrom": [[-3.742, -1.012, -2.601], [0.407, -2.870, -3.660], [-1.871, -4.274, 0.165]], "species": ["In", "Si", "Zr"], "fractional_positions": [[0.000, 0.000, 0.000], [0.500, 0.500, 0.500], [0.750, 0.750, 0.750]]}


[3]
{"formula": "ZrIn2Si", "functional": "PBE-GGA", "state": "relaxed", "magmom_total_mub_per_atom": 0.000, "raw_formation_energy_mev_per_atom": -97, "final_energy_ev_per_atom": -4.96, "dos_ef_per_ev_atom": 0.69, "lattice_angstrom": [[-2.003, -3.494, 0.755], [3.353, -2.138, -0.997], [1.497, 0.157, 4.696]], "species": ["In", "In", "Si", "Zr"], "fractional_positions": [[0.000, 0.000, 0.000], [0.500, 0.500, 0.000], [0.500, 0.000, 0.500], [0.000, 0.500, 0.500]]}